1.
Compound: Pd2AuN
Source: Alexandria via LeMat-Bulk
Functional: GGA-PBE
Structure: optimized geometry

Lattice parameters (Å, degrees): 6.6029 6.6029 6.6029 134.07 134.07 66.98
Sites, in units of the cell vectors:
Pd1 0.3750 0.2291 0.3541
Pd2 0.7709 0.1250 0.1459
Pd3 0.8750 0.0209 0.6459
Pd4 0.9791 0.6250 0.8541
Au1 0.2500 0.7500 0.5000
Au2 0.5000 0.5000 0.0000
N1 0.0000 0.0000 0.0000
N2 0.7500 0.2500 0.5000

Summary:
As for the density of states at the Fermi level: 0.16 states/eV per cell. Its total energy is -4.87 eV/atom. As for the uncorrected formation energy: 60.2 kJ per mole of atoms.

***

2.
Compound: KCaY
Source: Alexandria via LeMat-Bulk
Functional: GGA-PBE
Structure: optimized geometry

Lattice parameters (Å, degrees): 10.5021 10.2583 3.6970 83.49 76.04 20.47
Sites, in units of the cell vectors:
K1 0.0000 0.0000 0.0000
Ca1 0.3163 0.3163 0.6837
Y1 0.6736 0.6736 0.3264

Summary:
As for the density of states at the Fermi level: 4.64 states/eV per cell. Its total energy is -2.91 eV/atom. The calculation puts the energy relative to the elements at 0.275 eV per atom.

***

3.
Compound: Gd3ThNi
Source: Alexandria via LeMat-Bulk
Functional: GGA-PBE
Structure: optimized geometry

Lattice parameters (Å, degrees): 5.3318 5.3318 5.3318 90.00 90.00 90.00
Sites, in units of the cell vectors:
Gd1 0.0000 0.0000 0.5000
Gd2 0.0000 0.5000 0.0000
Gd3 0.5000 0.0000 0.0000
Th1 0.5000 0.5000 0.5000
Ni1 0.0000 0.0000 0.0000

Summary:
As for the density of states at the Fermi level: 7.40 states/eV per cell. Its total energy is -11.04 eV/atom. The calculation puts the energy relative to the elements at 0.045 eV per atom.

***

4.
Compound: PrHoZr2
Source: Alexandria via LeMat-Bulk
Functional: GGA-PBE
Structure: optimized geometry

Lattice parameters (Å, degrees): 11.2259 11.2259 11.2259 17.30 17.30 17.30
Sites, in units of the cell vectors:
Pr1 0.0000 0.0000 0.0000
Ho1 0.5000 0.5000 0.5000
Zr1 0.2485 0.2485 0.2485
Zr2 0.7515 0.7515 0.7515

Summary:
As for the density of states at the Fermi level: 5.72 states/eV per cell. Its total energy is -6.44 eV/atom. The calculation puts the energy relative to the elements at 0.177 eV per atom.

***

5.
Compound: NaSrAc2S4
Source: Alexandria via LeMat-Bulk
Functional: GGA-PBE
Structure: optimized geometry

Lattice parameters (Å, degrees): 8.5682 8.5682 8.5682 120.35 119.60 90.05
Sites, in units of the cell vectors:
Na1 0.0000 0.0000 0.0000
Na2 0.5000 0.0000 0.5000
Sr1 0.5000 0.0000 0.0000
Sr2 0.5000 0.5000 0.5000
Ac1 0.0000 0.0000 0.5000
Ac2 0.0000 0.5000 0.0000
Ac3 0.0000 0.5000 0.5000
Ac4 0.5000 0.5000 0.0000
S1 0.2492 0.2518 0.5026
S2 0.2492 0.7466 0.9974
S3 0.2504 0.7499 0.5006
S4 0.2507 0.2501 0.0006
S5 0.7493 0.7499 0.9994
S6 0.7496 0.2501 0.4994
S7 0.7508 0.2534 0.0026
S8 0.7508 0.7482 0.4974

Summary:
As for the density of states at the Fermi level: 5.60 states/eV per cell. Its total energy is -5.39 eV/atom. As for the uncorrected formation energy: -185.5 kJ per mole of atoms.

***

6.
Compound: KLiS2Cl
Source: Alexandria via LeMat-Bulk
Functional: GGA-PBE
Structure: optimized geometry

Lattice parameters (Å, degrees): 4.4230 4.4230 6.2045 90.00 90.00 90.00
Sites, in units of the cell vectors:
K1 0.0000 0.0000 0.0000
Li1 0.5000 0.5000 0.5000
S1 0.0000 0.5000 0.5000
S2 0.5000 0.0000 0.5000
Cl1 0.5000 0.5000 0.0000

Summary:
As for the density of states at the Fermi level: 4.11 states/eV per cell. Its total energy is -3.11 eV/atom. As for the uncorrected formation energy: -47.3 kJ per mole of atoms.